No. 1
# NiPOs2, relaxed, DFT GGA-PBE
data_NiPOs2
_cell_length_a 2.786
_cell_length_b 4.708
_cell_length_c 8.238
_cell_angle_alpha 90.00
_cell_angle_beta 90.00
_cell_angle_gamma 90.00
_symmetry_space_group_name_H-M 'C m m 2'
_symmetry_Int_Tables_number 35
loop_
_symmetry_equiv_pos_as_xyz
'x,y,z'
'-x,-y,z'
'-x,y,z'
'x,-y,z'
'x+1/2,y+1/2,z'
'-x+1/2,-y+1/2,z'
'-x+1/2,y+1/2,z'
'x+1/2,-y+1/2,z'
loop_
_atom_site_label
_atom_site_type_symbol
_atom_site_fract_x
_atom_site_fract_y
_atom_site_fract_z
Ni1 Ni 0.000 0.000 0.000
P1 P 0.000 0.500 0.788
Os1 Os 0.000 0.000 0.555
Os2 Os 0.000 0.500 0.272
# Calculated volume ... 108 Å³/cell
# Formation enthalpy at 0 K ... 0.447 eV/atom
# Density ... 14.5 g cm⁻³
# Size of the total moment ... 0.0 μB/f.u.



No. 2
# NiPOs2, relaxed, DFT GGA-PBE
data_NiPOs2
_cell_length_a 2.789
_cell_length_b 3.995
_cell_length_c 9.679
_cell_angle_alpha 90.00
_cell_angle_beta 90.00
_cell_angle_gamma 90.00
_symmetry_space_group_name_H-M 'I m m m'
_symmetry_Int_Tables_number 71
_symmetry_space_group_name_Hall '-I 2 2'
loop_
_atom_site_label
_atom_site_type_symbol
_atom_site_fract_x
_atom_site_fract_y
_atom_site_fract_z
Ni1 Ni 0.000 0.000 0.000
P1 P 0.000 0.000 0.500
Os1 Os 0.000 0.500 0.196
# Calculated volume ... 108 Å³/cell
# Formation enthalpy at 0 K ... 0.042 eV/atom
# Density ... 14.5 g cm⁻³
# Size of the total moment ... 0.0 μB/f.u.



No. 3
# NiP2Os, relaxed, DFT GGA-PBE
data_NiP2Os
_cell_length_a 5.403
_cell_length_b 7.632
_cell_length_c 3.806
_cell_angle_alpha 90.00
_cell_angle_beta 134.45
_cell_angle_gamma 90.00
_symmetry_space_group_name_H-M 'C 1 2/m 1'
_symmetry_Int_Tables_number 12
loop_
_symmetry_equiv_pos_as_xyz
'x,y,z'
'-x,-y,-z'
'-x,y,-z'
'x,-y,z'
'x+1/2,y+1/2,z'
'-x+1/2,-y+1/2,-z'
'-x+1/2,y+1/2,-z'
'x+1/2,-y+1/2,z'
loop_
_atom_site_label
_atom_site_type_symbol
_atom_site_fract_x
_atom_site_fract_y
_atom_site_fract_z
Ni1 Ni 0.000 0.000 0.000
P1 P 0.250 0.250 0.500
Os1 Os 0.000 0.500 0.000
# Calculated volume ... 112 Å³/cell
# Formation enthalpy at 0 K ... 0.295 eV/atom
# Density ... 9.2 g cm⁻³
# Size of the total moment ... 0.0 μB/f.u.



no.,relative energy among the computed polymorphs (meV per atom),E (eV per cell)
1,439,-63.73
2,34,-66.97
3,559,-53.30